The following is a DFT calculation (PBE-GGA) of crystalline Ac2Sn8Pd at its relaxed geometry.

The structure in CIF format:
```
data_Ac2Sn8Pd
_chemical_formula_sum 'Ac2 Sn8 Pd1'
_symmetry_space_group_name_H-M 'P 1'
_symmetry_Int_Tables_number 1
_cell_length_a 4.9179
_cell_length_b 4.9179
_cell_length_c 12.7770
_cell_angle_alpha 90.00
_cell_angle_beta 90.00
_cell_angle_gamma 90.00
loop_
_symmetry_equiv_pos_as_xyz
'x,y,z'
loop_
_atom_site_label
_atom_site_fract_x
_atom_site_fract_y
_atom_site_fract_z
Ac1 0.0000 0.0000 0.1899
Ac2 0.0000 0.0000 0.8101
Sn1 0.0000 0.5000 0.0000
Sn2 0.0000 0.5000 0.3808
Sn3 0.0000 0.5000 0.6192
Sn4 0.5000 0.0000 0.0000
Sn5 0.5000 0.0000 0.3808
Sn6 0.5000 0.0000 0.6192
Sn7 0.5000 0.5000 0.1969
Sn8 0.5000 0.5000 0.8031
Pd1 0.0000 0.0000 0.5000
```

Computed properties:
Calculated total energy = -4.564 eV per atom